# 1
{
  "formula": "NaLaTl2Rh",
  "functional": "PBE",
  "state": "optimized geometry",
  "ef_mev_per_atom": -269,
  "cell": [[5.440, 0.000, 0.000], [0.000, 5.440, 0.000], [0.000, 0.000, 5.209]],
  "species": ["Na", "La", "Tl", "Tl", "Rh"],
  "fractional_positions": [[0.000, 0.000, 0.000], [0.500, 0.500, 0.000], [0.000, 0.500, 0.500], [0.500, 0.000, 0.500], [0.500, 0.500, 0.500]]
}


# 2
{
  "formula": "Fe2HgAu",
  "functional": "PBE",
  "state": "optimized geometry",
  "ef_mev_per_atom": 338,
  "cell": [[2.863, -3.908, 0.000], [2.863, 3.908, 0.000], [0.000, 0.000, 2.853]],
  "species": ["Fe", "Fe", "Hg", "Au"],
  "fractional_positions": [[0.000, 0.500, 0.000], [0.500, 0.000, 0.000], [0.000, 0.000, 0.500], [0.500, 0.500, 0.500]]
}


# 3
{
  "formula": "Cd3Sn12Ge5",
  "functional": "PBE",
  "state": "optimized geometry",
  "ef_mev_per_atom": 194,
  "cell": [[-8.386, 8.386, 8.386], [8.386, -8.386, 8.386], [8.386, 8.386, -8.386]],
  "species": ["Cd", "Cd", "Cd", "Cd", "Cd", "Cd", "Cd", "Cd", "Cd", "Cd", "Cd", "Cd", "Sn", "Sn", "Sn", "Sn", "Sn", "Sn", "Sn", "Sn", "Sn", "Sn", "Sn", "Sn", "Sn", "Sn", "Sn", "Sn", "Sn", "Sn", "Sn", "Sn", "Sn", "Sn", "Sn", "Sn", "Sn", "Sn", "Sn", "Sn", "Sn", "Sn", "Sn", "Sn", "Sn", "Sn", "Sn", "Sn", "Sn", "Sn", "Sn", "Sn", "Sn", "Sn", "Sn", "Sn", "Sn", "Sn", "Sn", "Sn", "Ge", "Ge", "Ge", "Ge", "Ge", "Ge", "Ge", "Ge", "Ge", "Ge", "Ge", "Ge", "Ge", "Ge", "Ge", "Ge", "Ge", "Ge", "Ge", "Ge"],
  "fractional_positions": [[0.125, 0.250, 0.375], [0.125, 0.375, 0.750], [0.250, 0.375, 0.125], [0.250, 0.875, 0.625], [0.375, 0.125, 0.250], [0.375, 0.750, 0.125], [0.625, 0.250, 0.875], [0.625, 0.875, 0.750], [0.750, 0.125, 0.375], [0.750, 0.625, 0.875], [0.875, 0.625, 0.250], [0.875, 0.750, 0.625], [0.055, 0.231, 0.125], [0.055, 0.324, 0.930], [0.070, 0.625, 0.394], [0.070, 0.945, 0.676], [0.106, 0.731, 0.676], [0.106, 0.875, 0.430], [0.125, 0.055, 0.231], [0.125, 0.570, 0.894], [0.176, 0.231, 0.606], [0.176, 0.445, 0.570], [0.231, 0.125, 0.055], [0.231, 0.606, 0.176], [0.269, 0.324, 0.894], [0.269, 0.445, 0.375], [0.324, 0.894, 0.269], [0.324, 0.930, 0.055], [0.375, 0.269, 0.445], [0.375, 0.606, 0.930], [0.394, 0.070, 0.625], [0.394, 0.824, 0.769], [0.430, 0.106, 0.875], [0.430, 0.824, 0.555], [0.445, 0.375, 0.269], [0.445, 0.570, 0.176], [0.555, 0.430, 0.824], [0.555, 0.625, 0.731], [0.570, 0.176, 0.445], [0.570, 0.894, 0.125], [0.606, 0.176, 0.231], [0.606, 0.930, 0.375], [0.625, 0.394, 0.070], [0.625, 0.731, 0.555], [0.676, 0.070, 0.945], [0.676, 0.106, 0.731], [0.731, 0.555, 0.625], [0.731, 0.676, 0.106], [0.769, 0.394, 0.824], [0.769, 0.875, 0.945], [0.824, 0.555, 0.430], [0.824, 0.769, 0.394], [0.875, 0.430, 0.106], [0.875, 0.945, 0.769], [0.894, 0.125, 0.570], [0.894, 0.269, 0.324], [0.930, 0.055, 0.324], [0.930, 0.375, 0.606], [0.945, 0.676, 0.070], [0.945, 0.769, 0.875], [0.000, 0.000, 0.000], [0.000, 0.000, 0.500], [0.000, 0.500, 0.000], [0.000, 0.500, 0.500], [0.125, 0.750, 0.875], [0.125, 0.875, 0.250], [0.250, 0.125, 0.875], [0.250, 0.625, 0.375], [0.375, 0.250, 0.625], [0.375, 0.625, 0.750], [0.500, 0.000, 0.000], [0.500, 0.000, 0.500], [0.500, 0.500, 0.000], [0.500, 0.500, 0.500], [0.625, 0.375, 0.250], [0.625, 0.750, 0.375], [0.750, 0.375, 0.625], [0.750, 0.875, 0.125], [0.875, 0.125, 0.750], [0.875, 0.250, 0.125]]
}


# 4
{
  "formula": "Er2TmPuSe4",
  "functional": "PBE",
  "state": "optimized geometry",
  "formation_energy_uncorrected_ev_per_atom": -1.668,
  "cell": [[7.033, 0.000, 0.000], [0.000, 4.037, 0.000], [-2.305, 0.000, 6.649]],
  "species": ["Er", "Er", "Tm", "Pu", "Se", "Se", "Se", "Se"],
  "fractional_positions": [[0.000, 0.000, 0.000], [0.000, 0.500, 0.500], [0.500, 0.000, 0.500], [0.500, 0.500, 0.000], [0.245, 0.000, 0.744], [0.248, 0.500, 0.254], [0.752, 0.500, 0.746], [0.755, 0.000, 0.256]]
}


# 5
{
  "formula": "K2Na6CdHg",
  "functional": "PBE",
  "state": "optimized geometry",
  "ef_mev_per_atom": -36,
  "cell": [[9.379, 0.000, 0.000], [0.000, 11.197, 0.000], [0.000, 0.000, 7.843]],
  "species": ["K", "K", "K", "K", "Na", "Na", "Na", "Na", "Na", "Na", "Na", "Na", "Na", "Na", "Na", "Na", "Cd", "Cd", "Hg", "Hg"],
  "fractional_positions": [[0.250, 0.006, 0.246], [0.250, 0.494, 0.246], [0.750, 0.506, 0.754], [0.750, 0.994, 0.754], [0.052, 0.250, 0.916], [0.053, 0.750, 0.569], [0.250, 0.002, 0.744], [0.250, 0.498, 0.744], [0.447, 0.750, 0.569], [0.448, 0.250, 0.916], [0.552, 0.750, 0.084], [0.553, 0.250, 0.431], [0.750, 0.502, 0.256], [0.750, 0.998, 0.256], [0.947, 0.250, 0.431], [0.948, 0.750, 0.084], [0.250, 0.750, 0.917], [0.750, 0.250, 0.083], [0.250, 0.250, 0.577], [0.750, 0.750, 0.423]]
}


# 6
{
  "formula": "CaHf2CoN4",
  "functional": "PBE",
  "state": "optimized geometry",
  "formation_energy_uncorrected_ev_per_atom": -1.208,
  "cell": [[1.606, -5.460, 0.000], [1.606, 5.460, 0.000], [0.000, 0.000, 11.133]],
  "species": ["Ca", "Ca", "Hf", "Hf", "Hf", "Hf", "Co", "Co", "N", "N", "N", "N", "N", "N", "N", "N"],
  "fractional_positions": [[0.106, 0.894, 0.750], [0.894, 0.106, 0.250], [0.367, 0.633, 0.551], [0.367, 0.633, 0.949], [0.633, 0.367, 0.051], [0.633, 0.367, 0.449], [0.160, 0.840, 0.250], [0.840, 0.160, 0.750], [0.000, 0.000, 0.000], [0.000, 0.000, 0.500], [0.263, 0.737, 0.110], [0.263, 0.737, 0.390], [0.433, 0.567, 0.750], [0.567, 0.433, 0.250], [0.737, 0.263, 0.610], [0.737, 0.263, 0.890]]
}


# 7
{
  "formula": "Be2BiAsO6",
  "functional": "PBE",
  "state": "optimized geometry",
  "formation_energy_uncorrected_ev_per_atom": -1.795,
  "cell": [[4.662, -5.360, 0.000], [4.662, 5.360, 0.000], [-1.974, 0.000, 4.944]],
  "species": ["Be", "Be", "Be", "Be", "Bi", "Bi", "As", "As", "O", "O", "O", "O", "O", "O", "O", "O", "O", "O", "O", "O"],
  "fractional_positions": [[0.150, 0.310, 0.345], [0.310, 0.150, 0.845], [0.690, 0.850, 0.155], [0.850, 0.690, 0.655], [0.121, 0.879, 0.250], [0.879, 0.121, 0.750], [0.310, 0.690, 0.750], [0.690, 0.310, 0.250], [0.077, 0.651, 0.801], [0.148, 0.183, 0.570], [0.183, 0.148, 0.070], [0.297, 0.524, 0.454], [0.349, 0.923, 0.699], [0.476, 0.703, 0.046], [0.524, 0.297, 0.954], [0.651, 0.077, 0.301], [0.703, 0.476, 0.546], [0.817, 0.852, 0.930], [0.852, 0.817, 0.430], [0.923, 0.349, 0.199]]
}


# 8
{
  "formula": "Cs2Zn2CrTe4",
  "functional": "PBE",
  "state": "optimized geometry",
  "formation_energy_uncorrected_ev_per_atom": -0.591,
  "cell": [[9.021, -2.145, 0.000], [9.021, 2.145, 0.000], [-2.478, 0.000, 8.171]],
  "species": ["Cs", "Cs", "Zn", "Zn", "Cr", "Te", "Te", "Te", "Te"],
  "fractional_positions": [[0.124, 0.124, 0.040], [0.876, 0.876, 0.960], [0.327, 0.327, 0.518], [0.673, 0.673, 0.482], [0.000, 0.000, 0.500], [0.213, 0.213, 0.679], [0.476, 0.476, 0.694], [0.524, 0.524, 0.306], [0.787, 0.787, 0.321]]
}